one) VASP calculation (PBE) on MgBeHg2 after structural relaxation. Values from VASP.

Output
The symmetry is P2/m (10).

Geometry as Quantum ESPRESSO input:
```
&SYSTEM
  ibrav = 0, nat = 4, ntyp = 3
/
ATOMIC_SPECIES
Hg 200.59 Hg.upf
Mg 24.30 Mg.upf
Be 9.01 Be.upf
CELL_PARAMETERS angstrom
-0.167 -3.566 -1.911
-0.568 -1.543 2.929
-5.894 0.014 0.488
ATOMIC_POSITIONS crystal
Hg 0.000 0.645 0.515
Hg 0.000 0.855 0.985
Mg 0.500 0.250 0.250
Be 0.500 0.750 0.750
```

---

two) VASP calculation (PBE) on MgBeHg2 after structural relaxation. Values from VASP.

Output
The symmetry is Cm (8).

Geometry as Quantum ESPRESSO input:
```
&SYSTEM
  ibrav = 0, nat = 4, ntyp = 3
/
ATOMIC_SPECIES
Hg 200.59 Hg.upf
Mg 24.30 Mg.upf
Be 9.01 Be.upf
CELL_PARAMETERS angstrom
-4.052 0.437 2.773
-4.673 -1.567 -0.091
0.400 -3.925 2.659
ATOMIC_POSITIONS crystal
Hg 0.756 0.756 0.717
Hg 0.994 0.994 0.053
Mg 0.500 0.500 0.512
Be 0.249 0.249 0.218
```

---

Short version: one), two), most stable first.

---

one) VASP calculation (PBE) on Be2TcAu after structural relaxation. Values from VASP.

Output
The symmetry is Cm (8).

Geometry as Quantum ESPRESSO input:
```
&SYSTEM
  ibrav = 0, nat = 4, ntyp = 3
/
ATOMIC_SPECIES
Be 9.01 Be.upf
Au 196.97 Au.upf
Tc 98.00 Tc.upf
CELL_PARAMETERS angstrom
4.681 0.004 -0.001
3.933 2.539 -0.001
1.203 0.355 4.154
ATOMIC_POSITIONS crystal
Be 0.984 0.984 0.955
Be 0.267 0.267 0.300
Au 0.738 0.738 0.820
Tc 0.512 0.512 0.425
```

---

two) VASP calculation (PBE) on Be2TcAu after structural relaxation. Values from VASP.

Output
The symmetry is Imm2 (44).

Geometry as Quantum ESPRESSO input:
```
&SYSTEM
  ibrav = 0, nat = 4, ntyp = 3
/
ATOMIC_SPECIES
Tc 98.00 Tc.upf
Au 196.97 Au.upf
Be 9.01 Be.upf
CELL_PARAMETERS angstrom
-4.557 0.608 2.247
-1.142 -1.374 4.795
3.250 2.627 -2.953
ATOMIC_POSITIONS crystal
Tc 0.486 0.486 0.000
Au 0.227 0.727 0.500
Be 0.791 0.291 0.500
Be 0.996 0.996 0.000
```

---

Short version: one), two), most stable first.

---

one) VASP calculation (PBE) on BaScCu2 after structural relaxation. Values from VASP.

Output
The symmetry is Pm (6).

Geometry as Quantum ESPRESSO input:
```
&SYSTEM
  ibrav = 0, nat = 4, ntyp = 3
/
ATOMIC_SPECIES
Cu 63.55 Cu.upf
Sc 44.96 Sc.upf
Ba 137.33 Ba.upf
CELL_PARAMETERS angstrom
4.101 0.000 0.000
0.000 3.830 0.007
0.000 1.895 6.535
ATOMIC_POSITIONS crystal
Cu 0.500 0.049 0.279
Cu 0.000 0.155 0.064
Sc 0.000 0.511 0.354
Ba 0.500 0.785 0.803
```

---

two) VASP calculation (PBE) on BaScCu2 after structural relaxation. Values from VASP.

Output
The symmetry is R3m (160).

Geometry as Quantum ESPRESSO input:
```
&SYSTEM
  ibrav = 0, nat = 4, ntyp = 3
/
ATOMIC_SPECIES
Sc 44.96 Sc.upf
Cu 63.55 Cu.upf
Ba 137.33 Ba.upf
CELL_PARAMETERS angstrom
-3.529 2.416 -0.626
-2.098 -0.176 -3.775
-5.602 -4.105 0.834
ATOMIC_POSITIONS crystal
Sc 0.551 0.551 0.348
Cu 0.273 0.273 0.180
Cu 0.942 0.942 0.173
Ba 0.734 0.734 0.798
```

---

Short version: two), one), most stable first.

---

one) VASP calculation (PBE) on Tl2CoW after structural relaxation. Values from VASP.

Output
The symmetry is P2/m (10).

Geometry as Quantum ESPRESSO input:
```
&SYSTEM
  ibrav = 0, nat = 4, ntyp = 3
/
ATOMIC_SPECIES
Tl 204.38 Tl.upf
W 183.84 W.upf
Co 58.93 Co.upf
CELL_PARAMETERS angstrom
-2.948 3.364 -0.562
-2.003 -1.475 1.674
1.645 2.243 4.795
ATOMIC_POSITIONS crystal
Tl 0.000 0.937 0.992
Tl 0.000 0.563 0.508
W 0.500 0.250 0.250
Co 0.500 0.750 0.750
```

---

two) VASP calculation (PBE) on Tl2CoW after structural relaxation. Values from VASP.

Output
The symmetry is Fm-3m (225).

Geometry as Quantum ESPRESSO input:
```
&SYSTEM
  ibrav = 0, nat = 4, ntyp = 3
/
ATOMIC_SPECIES
Co 58.93 Co.upf
Tl 204.38 Tl.upf
W 183.84 W.upf
CELL_PARAMETERS angstrom
0.000 3.328 3.328
3.328 0.000 3.328
3.328 3.328 0.000
ATOMIC_POSITIONS crystal
Co 0.000 0.000 0.000
Tl 0.250 0.250 0.250
Tl 0.750 0.750 0.750
W 0.500 0.500 0.500
```

---

Short version: one), two), most stable first.

---

one) VASP calculation (PBE) on BeAlHg2 after structural relaxation. Values from VASP.

Output
The symmetry is I4/mmm (139).

Geometry as Quantum ESPRESSO input:
```
&SYSTEM
  ibrav = 0, nat = 4, ntyp = 3
/
ATOMIC_SPECIES
Hg 200.59 Hg.upf
Al 26.98 Al.upf
Be 9.01 Be.upf
CELL_PARAMETERS angstrom
5.049 0.031 0.000
1.434 4.841 0.000
-3.242 -2.436 3.008
ATOMIC_POSITIONS crystal
Hg 0.000 0.000 0.000
Hg 0.500 0.500 0.000
Al 0.250 0.750 0.500
Be 0.750 0.250 0.500
```

---

two) VASP calculation (PBE) on BeAlHg2 after structural relaxation. Values from VASP.

Output
The symmetry is R3m (160).

Geometry as Quantum ESPRESSO input:
```
&SYSTEM
  ibrav = 0, nat = 4, ntyp = 3
/
ATOMIC_SPECIES
Hg 200.59 Hg.upf
Be 9.01 Be.upf
Al 26.98 Al.upf
CELL_PARAMETERS angstrom
8.555 -0.009 -0.005
7.958 3.140 -0.005
7.958 1.509 2.754
ATOMIC_POSITIONS crystal
Hg 0.014 0.014 0.014
Hg 0.245 0.245 0.245
Be 0.751 0.751 0.751
Al 0.489 0.489 0.489
```

---

Short version: two), one), most stable first.

---

one) VASP calculation (PBE) on ErTh after structural relaxation. Values from VASP.

Output
The symmetry is R-3m (166).

Geometry as Quantum ESPRESSO input:
```
&SYSTEM
  ibrav = 0, nat = 2, ntyp = 2
/
ATOMIC_SPECIES
Th 232.04 Th.upf
Er 167.26 Er.upf
CELL_PARAMETERS angstrom
6.111 -0.001 -0.001
5.086 3.386 -0.001
5.086 1.538 3.017
ATOMIC_POSITIONS crystal
Th 0.500 0.500 0.500
Er 0.000 0.000 0.000
```

---

two) VASP calculation (PBE) on ErTh after structural relaxation. Values from VASP.

Output
The symmetry is R-3m (166).

Geometry as Quantum ESPRESSO input:
```
&SYSTEM
  ibrav = 0, nat = 4, ntyp = 2
/
ATOMIC_SPECIES
Th 232.04 Th.upf
Er 167.26 Er.upf
CELL_PARAMETERS angstrom
-0.504 0.927 3.413
-0.568 -2.519 2.469
10.889 -1.247 3.818
ATOMIC_POSITIONS crystal
Th 0.709 0.709 0.875
Th 0.291 0.291 0.125
Er 0.125 0.125 0.625
Er 0.875 0.875 0.375
```

---

Short version: two), one), most stable first.